Here is AlTcAs2P after structural relaxation from Alexandria. Energies are from PBE-GGA.

Results
Energy of formation from the pure elements in kJ/mol of formula units: 410
V in Å³/f.u.: 101.29

Structure (CIF):
```
data_AlTcAs2P
_space_group_name_H-M_alt 'P 4/m m m'
_space_group_IT_number 123
_space_group_name_Hall '-P 4 2'
_cell_length_a 4.776
_cell_length_b 4.776
_cell_length_c 4.441
_cell_angle_alpha 90.00
_cell_angle_beta 90.00
_cell_angle_gamma 90.00
loop_
_atom_site_label
_atom_site_type_symbol
_atom_site_fract_x
_atom_site_fract_y
_atom_site_fract_z
Al1 Al 0.000 0.000 0.000
Tc1 Tc 0.500 0.500 0.000
As1 As 0.000 0.500 0.500
P1 P 0.500 0.500 0.500
```